This record from the Alexandria database describes NaGeSbO5 after structural relaxation. The functional is PBEsol.

Unit cell a=5.6031 b=5.6031 c=7.2699 alpha=104.72 beta=104.72 gamma=105.85
With the nearest neighbours (Å) after each atom.
Fractional positions:
Na (0.1652, 0.8348, 0.7500)  5 O 2.27-2.47
Na (0.8348, 0.1652, 0.2500)  5 O 2.27-2.47
Ge (0.1875, 0.8125, 0.2500)  4 O 1.76
Ge (0.8125, 0.1875, 0.7500)  4 O 1.76
Sb (0.5000, 0.5000, 0.0000)  6 O 1.96-2.00
Sb (0.5000, 0.5000, 0.5000)  6 O 1.96-2.00
O (0.1271, 0.2552, 0.9236)  1 Ge 1.76
O (0.1853, 0.5891, 0.3828)  1 Ge 1.76
O (0.2552, 0.1271, 0.4236)  1 Ge 1.76
O (0.4109, 0.8147, 0.1172)  1 Ge 1.76
O (0.4189, 0.5811, 0.7500)  2 Sb 1.96
O (0.5811, 0.4189, 0.2500)  2 Sb 1.96
O (0.5891, 0.1853, 0.8828)  1 Ge 1.76
O (0.7448, 0.8729, 0.5764)  1 Ge 1.76
O (0.8147, 0.4109, 0.6172)  1 Ge 1.76
O (0.8729, 0.7448, 0.0764)  1 Ge 1.76

Summary:
* total magnetic moment: 0.00 μB per formula unit
* E_form (uncorrected): -1.68 eV per atom